# 1
Material: Fe5Ag3
Method: DFT, GGA-PBE
State: relaxed

Properties
energy relative to the elements = 2.7 eV/f.u.
total magnetic moment = 26.62 μB per cell
space group = P-1, No. 2

abc: 8.518 8.959 5.894
angles: 89.95 99.88 147.58
Site moments in Bohr magnetons follow the coordinates.
Sites, in units of the cell vectors:
Fe: 0.690 0.897 0.657  2.71
Fe: 0.755 0.190 0.446  2.58
Ag: 0.244 0.812 0.068  0.03
Fe: 0.311 0.104 0.344  2.71
Fe: 0.751 0.424 0.209  2.66
Fe: 0.678 0.893 0.190  2.79
Ag: 0.757 0.189 0.933  0.03
Fe: 0.246 0.810 0.555  2.58
Ag: 0.784 0.708 0.946  0.01
Fe: 0.234 0.564 0.330  2.63
Fe: 0.767 0.437 0.670  2.63
Ag: 0.217 0.293 0.055  0.01
Ag: 0.776 0.705 0.442  0.02
Fe: 0.250 0.577 0.792  2.66
Ag: 0.225 0.296 0.558  0.02
Fe: 0.322 0.108 0.811  2.79

=====

# 2
Material: FeAg
Method: DFT, GGA-PBE
State: relaxed

Properties
energy relative to the elements = 1.0 eV/f.u.
total magnetic moment = 17.11 μB per cell
space group = P6_3/m, No. 176

abc: 9.210 9.210 2.687
angles: 90.00 90.00 120.00
Site moments in Bohr magnetons follow the coordinates.
Sites, in units of the cell vectors:
Fe: 0.838 0.459 0.250  2.81
Ag: 0.245 0.293 0.750  0.02
Fe: 0.379 0.838 0.750  2.81
Fe: 0.621 0.162 0.250  2.81
Ag: 0.951 0.245 0.250  0.02
Ag: 0.293 0.049 0.250  0.02
Ag: 0.755 0.707 0.250  0.02
Fe: 0.541 0.379 0.250  2.81
Ag: 0.049 0.755 0.750  0.02
Fe: 0.162 0.541 0.750  2.81
Ag: 0.707 0.951 0.750  0.02
Fe: 0.459 0.621 0.750  2.81

=====

# 3
Material: FeAg
Method: DFT, GGA-PBE
State: relaxed

Properties
energy relative to the elements = 3.1 eV/f.u.
total magnetic moment = 19.18 μB per cell
space group = Pm-3n, No. 223

abc: 7.092 7.092 7.092
angles: 90.00 90.00 90.00
Site moments in Bohr magnetons follow the coordinates.
Sites, in units of the cell vectors:
Ag: 0.750 0.500 0.000  0.08
Ag: 0.000 0.750 0.500  0.08
Fe: 0.500 0.250 0.000  3.11
Fe: 0.000 0.500 0.250  3.11
Fe: 0.000 0.500 0.750  3.11
Ag: 0.250 0.500 0.000  0.08
Fe: 0.250 0.000 0.500  3.11
Fe: 0.750 0.000 0.500  3.11
Ag: 0.500 0.000 0.250  0.08
Ag: 0.000 0.250 0.500  0.08
Fe: 0.500 0.750 0.000  3.11
Ag: 0.500 0.000 0.750  0.08

=====

# 4
Material: Fe3Ag5
Method: DFT, GGA-PBE
State: relaxed

Properties
energy relative to the elements = 3.4 eV/f.u.
total magnetic moment = 17.15 μB per cell
space group = P-1, No. 2

abc: 6.707 8.163 8.473
angles: 84.06 98.97 144.32
Site moments in Bohr magnetons follow the coordinates.
Sites, in units of the cell vectors:
Ag: 0.817 0.901 0.707  0.01
Ag: 0.869 0.597 0.843  0.01
Ag: 0.793 0.328 0.364  0.01
Fe: 0.278 0.097 0.977  2.80
Ag: 0.739 0.590 0.143  0.03
Ag: 0.208 0.672 0.637  0.01
Fe: 0.754 0.621 0.472  2.88
Fe: 0.369 0.892 0.117  2.80
Ag: 0.605 0.864 0.382  0.02
Fe: 0.631 0.109 0.883  2.80
Ag: 0.396 0.137 0.619  0.02
Fe: 0.247 0.380 0.529  2.88
Ag: 0.132 0.404 0.158  0.01
Ag: 0.184 0.100 0.294  0.01
Ag: 0.262 0.411 0.858  0.03
Fe: 0.723 0.904 0.024  2.80